Computed, not measured: a relaxed structure of ReB2WO at the GGA+U level of DFT.

Cell and atoms, written as POSCAR:
```
ReB2WO
1.0
3.9098 0.0000 0.0000
0.0000 3.9098 0.0000
0.0000 0.0000 5.3089
Re B W O
1 2 1 1
direct
0.0000 0.0000 0.0000
0.0000 0.5000 0.0000
0.5000 0.0000 0.0000
0.0000 0.0000 0.5000
0.5000 0.5000 0.5000
```

Output
* total DFT energy (no corrections): -6.0945 eV per atom
* N(E_F): 2.531 states/eV per cell
* mass density: 8.34 g/cm³